Entry 1:
# PBE-GGA AcInAu4, optimized geometry
data_AcInAu4
_cell_length_a 7.491
_cell_length_b 19.445
_cell_length_c 4.052
_cell_angle_alpha 90.00
_cell_angle_beta 90.00
_cell_angle_gamma 90.00
_space_group_name_H-M_alt 'P b a m'
_space_group_IT_number 55
loop_
_space_group_symop_operation_xyz
'x,y,z'
'-x,-y,-z'
'-x,-y,z'
'x,y,-z'
'x+1/2,-y+1/2,-z'
'-x+1/2,y+1/2,z'
'-x+1/2,y+1/2,-z'
'x+1/2,-y+1/2,z'
loop_
_atom_site_label
_atom_site_fract_x
_atom_site_fract_y
_atom_site_fract_z
_atom_site_occupancy
Ac1 0.188 0.169 0.000 1
In1 0.161 0.429 0.000 1
Au1 0.028 0.337 0.500 1
Au2 0.048 0.931 0.500 1
Au3 0.129 0.790 0.500 1
Au4 0.173 0.540 0.500 1
# size of the total moment	0.0	μB per formula unit
# distance to the lowest polymorph of the same formula	0.014	eV per atom
# Fermi-level density of states	0.48	states/eV/atom

Entry 2:
# PBE-GGA AcIn2Au2, optimized geometry
data_AcIn2Au2
_cell_length_a 4.479
_cell_length_b 4.479
_cell_length_c 12.723
_cell_angle_alpha 90.00
_cell_angle_beta 90.00
_cell_angle_gamma 90.00
_space_group_name_H-M_alt 'I 4/m m m'
_space_group_IT_number 139
_space_group_name_Hall '-I 4 2'
loop_
_atom_site_label
_atom_site_fract_x
_atom_site_fract_y
_atom_site_fract_z
_atom_site_occupancy
Ac1 0.000 0.000 0.000 1
In1 0.000 0.500 0.250 1
Au1 0.000 0.000 0.391 1
# size of the total moment	0.0	μB per formula unit
# distance to the lowest polymorph of the same formula	0.000	eV per atom
# Fermi-level density of states	0.48	states/eV/atom

Entry 3:
# PBE-GGA AcIn2Au6, optimized geometry
data_AcIn2Au6
_cell_length_a 3.868
_cell_length_b 8.145
_cell_length_c 13.421
_cell_angle_alpha 90.00
_cell_angle_beta 90.00
_cell_angle_gamma 90.00
_space_group_name_H-M_alt 'I m m m'
_space_group_IT_number 71
_space_group_name_Hall '-I 2 2'
loop_
_atom_site_label
_atom_site_fract_x
_atom_site_fract_y
_atom_site_fract_z
_atom_site_occupancy
Ac1 0.000 0.000 0.000 1
In1 0.000 0.500 0.137 1
Au1 0.000 0.171 0.500 1
Au2 0.000 0.325 0.318 1
# size of the total moment	0.0	μB per formula unit
# distance to the lowest polymorph of the same formula	0.000	eV per atom
# Fermi-level density of states	0.39	states/eV/atom

Entry 4:
# PBE-GGA AcInAu4, optimized geometry
data_AcInAu4
_cell_length_a 5.173
_cell_length_b 15.424
_cell_length_c 7.347
_cell_angle_alpha 90.00
_cell_angle_beta 90.00
_cell_angle_gamma 90.00
_space_group_name_H-M_alt 'C m c m'
_space_group_IT_number 63
_space_group_name_Hall '-C 2c 2'
loop_
_atom_site_label
_atom_site_fract_x
_atom_site_fract_y
_atom_site_fract_z
_atom_site_occupancy
Ac1 0.000 0.115 0.250 1
In1 0.000 0.362 0.250 1
Au1 0.000 0.084 0.750 1
Au2 0.000 0.270 0.567 1
Au3 0.000 0.500 0.000 1
# size of the total moment	0.0	μB per formula unit
# distance to the lowest polymorph of the same formula	0.048	eV per atom
# Fermi-level density of states	0.38	states/eV/atom